Below is a crystal of Sr8Fe3N8 relaxed with PBEsol, with properties calculated at the meta-GGA SCAN level.

abc: 9.6111 9.6111 7.3573
angles: 104.90 104.90 31.94
Closest atoms and distances in Å follow each position.
Element x y z (fractional)
Sr  0.0288  0.0288  0.2644  5 N 2.63-2.80
Sr  0.2002  0.2002  0.8046  5 N 2.60-2.68
Sr  0.3335  0.3335  0.5302  5 N 2.59-2.74
Sr  0.4045  0.4045  0.0329  3 N 2.49-2.67
Sr  0.5955  0.5955  0.9671  3 N 2.49-2.67
Sr  0.6665  0.6665  0.4698  5 N 2.59-2.74
Sr  0.7998  0.7998  0.1954  5 N 2.60-2.68
Sr  0.9712  0.9712  0.7356  5 N 2.63-2.80
Fe  0.1876  0.1876  0.2051  3 N 1.71-1.73
Fe  0.5000  0.5000  0.5000  2 N 1.82
Fe  0.8124  0.8124  0.7949  3 N 1.71-1.73
N  0.1080  0.1080  0.0161  1 Fe 1.73
N  0.1794  0.1794  0.4308  1 Fe 1.71
N  0.2756  0.2756  0.1666  1 Fe 1.72
N  0.4733  0.4733  0.7205  1 Fe 1.82
N  0.5267  0.5267  0.2795  1 Fe 1.82
N  0.7244  0.7244  0.8334  1 Fe 1.72
N  0.8206  0.8206  0.5692  1 Fe 1.71
N  0.8920  0.8920  0.9839  1 Fe 1.73

Output
formation energy (no corrections) = -826 meV/atom
calculated volume = 346.5 Å³ per cell
calculated total energy = -16.9795 eV per atom
spin magnetization = 0.105 μB per atom